Here is crystalline CdAgSnHg at its relaxed geometry from the Alexandria database. Energies are from PBE.

It has space group F-43m (No. 216), with a = 7.179 Å, b = 7.179 Å, c = 7.179 Å, α = 90.00°, β = 90.00° and γ = 90.00°. The asymmetric unit holds Cd at (0.000, 0.000, 0.000), Ag at (0.250, 0.250, 0.250), Sn at (0.000, 0.000, 0.500) and Hg at (0.250, 0.250, 0.750).

Its total moment is 0.00 μB/f.u. The formation energy is 0.10 eV per atom. The value obtained for the density of states at the Fermi level is 2.85 states/eV/cell. The calculation puts the raw total energy at -1.9202 eV per atom. Its crystal system is cubic.

=====

Here is crystalline Sr2Cd4Ag3Hg at its relaxed geometry from the Alexandria database. Energies are from PBE.

It has space group P-4m2 (No. 115), with a = 4.698 Å, b = 4.698 Å, c = 11.990 Å, α = 90.00°, β = 90.00° and γ = 90.00°. The asymmetric unit holds Sr at (0.000, 0.500, 0.248), Cd at (0.000, 0.000, 0.000), Cd at (0.000, 0.500, 0.639), Cd at (0.500, 0.500, 0.000), Ag at (0.000, 0.500, 0.865), Ag at (0.500, 0.500, 0.500) and Hg at (0.000, 0.000, 0.500).

Its total moment is 0.00 μB/f.u. The formation energy is -0.23 eV per atom. The value obtained for the density of states at the Fermi level is 5.14 states/eV/cell. The calculation puts the raw total energy at -1.8148 eV per atom. Its crystal system is tetragonal.

=====

Here is crystalline Sr2CdAg3Hg4 at its relaxed geometry from the Alexandria database. Energies are from PBE.

It has space group P-4m2 (No. 115), with a = 4.460 Å, b = 4.460 Å, c = 13.166 Å, α = 90.00°, β = 90.00° and γ = 90.00°. The asymmetric unit holds Sr at (0.000, 0.500, 0.248), Cd at (0.000, 0.000, 0.500), Ag at (0.000, 0.500, 0.856), Ag at (0.500, 0.500, 0.500), Hg at (0.000, 0.000, 0.000), Hg at (0.000, 0.500, 0.645) and Hg at (0.500, 0.500, 0.000).

Its total moment is 0.00 μB/f.u. The formation energy is -0.25 eV per atom. The value obtained for the density of states at the Fermi level is 4.81 states/eV/cell. The calculation puts the raw total energy at -1.6519 eV per atom. Its crystal system is tetragonal.

=====

Here is crystalline SrCd2AgHg at its relaxed geometry from the Alexandria database. Energies are from PBE.

It has space group Imm2 (No. 44), with a = 4.156 Å, b = 4.711 Å, c = 13.378 Å, α = 90.00°, β = 90.00° and γ = 90.00°. The asymmetric unit holds Sr at (0.000, 0.000, 0.000), Cd at (0.000, 0.000, 0.611), Cd at (0.000, 0.500, 0.264), Ag at (0.000, 0.500, 0.734) and Hg at (0.000, 0.000, 0.395).

Its total moment is 0.00 μB/f.u. The formation energy is -0.24 eV per atom. The value obtained for the density of states at the Fermi level is 4.39 states/eV/cell. The calculation puts the raw total energy at -1.5777 eV per atom. Its crystal system is orthorhombic.

=====

Here is crystalline Sr2CdAgHg6 at its relaxed geometry from the Alexandria database. Energies are from PBE.

It has space group P-1 (No. 2), with a = 5.834 Å, b = 7.292 Å, c = 7.502 Å, α = 81.08°, β = 71.19° and γ = 71.26°. The asymmetric unit holds Sr at (0.011, 0.248, 0.264), Cd at (0.500, 0.500, 0.000), Ag at (0.500, 0.000, 0.500), Hg at (0.000, 0.262, 0.727), Hg at (0.348, 0.927, 0.910) and Hg at (0.496, 0.341, 0.657).

Its total moment is 0.00 μB/f.u. The formation energy is -0.24 eV per atom. The value obtained for the density of states at the Fermi level is 4.77 states/eV/cell. The calculation puts the raw total energy at -1.1338 eV per atom. Its crystal system is triclinic.

=====

Here is crystalline Sr3Cd6AgHg2 at its relaxed geometry from the Alexandria database. Energies are from PBE.

It has space group P-3m1 (No. 164), with a = 6.0546 Å, b = 6.0546 Å, c = 10.7209 Å, α = 90.00°, β = 90.00° and γ = 120.00°. The asymmetric unit holds Sr at (0.0000, 0.0000, 0.0000), Sr at (0.3333, 0.6667, 0.5765), Cd at (0.1696, 0.3392, 0.2717), Ag at (0.0000, 0.0000, 0.5000) and Hg at (0.3333, 0.6667, 0.9008).

Its total moment is 0.00 μB/f.u. The formation energy is -0.22 eV per atom. The value obtained for the density of states at the Fermi level is 5.30 states/eV/cell. The calculation puts the raw total energy at -1.3846 eV per atom. Its crystal system is trigonal.

=====

Here is crystalline Sr2Cd6AgHg at its relaxed geometry from the Alexandria database. Energies are from PBE.

It has space group Pmmn (No. 59, origin choice 2), with a = 8.029 Å, b = 9.913 Å, c = 7.204 Å, α = 90.00°, β = 90.00° and γ = 90.00°. The asymmetric unit holds Sr at (0.250, 0.015, 0.227), Cd at (0.064, 0.250, 0.888), Cd at (0.076, 0.750, 0.541), Cd at (0.250, 0.502, 0.725), Ag at (0.250, 0.250, 0.541) and Hg at (0.250, 0.750, 0.938).

Its total moment is 0.00 μB/f.u. The formation energy is -0.16 eV per atom. The value obtained for the density of states at the Fermi level is 11.12 states/eV/cell. The calculation puts the raw total energy at -1.3637 eV per atom. Its crystal system is orthorhombic.

=====

Here is crystalline SrCdAgHg at its relaxed geometry from the Alexandria database. Energies are from PBE.

It has space group Cm (No. 8), with a = 8.545 Å, b = 4.961 Å, c = 5.911 Å, α = 90.00°, β = 119.10° and γ = 90.00°. The asymmetric unit holds Sr at (0.000, 0.000, 0.000), Cd at (0.023, 0.500, 0.570), Ag at (0.211, 0.000, 0.634) and Hg at (0.282, 0.500, 0.347).

Its total moment is 0.00 μB/f.u. The formation energy is -0.29 eV per atom. The value obtained for the density of states at the Fermi level is 5.26 states/eV/cell. The calculation puts the energy above the most stable polymorph in this dataset at 0 meV per atom. The calculation puts the raw total energy at -1.7318 eV per atom. Its crystal system is monoclinic.

=====

Here is crystalline SrCdAgHg at its relaxed geometry from the Alexandria database. Energies are from PBE.

It has space group F-43m (No. 216), with a = 7.445 Å, b = 7.445 Å, c = 7.445 Å, α = 90.00°, β = 90.00° and γ = 90.00°. The asymmetric unit holds Sr at (0.000, 0.000, 0.000), Cd at (0.000, 0.000, 0.500), Ag at (0.250, 0.250, 0.250) and Hg at (0.250, 0.250, 0.750).

Its total moment is 0.00 μB/f.u. The formation energy is -0.28 eV per atom. The value obtained for the density of states at the Fermi level is 10.59 states/eV/cell. The calculation puts the energy above the most stable polymorph in this dataset at 19 meV per atom. The calculation puts the raw total energy at -1.7129 eV per atom. Its crystal system is cubic.

=====

Here is crystalline SrCdAg2Hg at its relaxed geometry from the Alexandria database. Energies are from PBE.

It has space group Imm2 (No. 44), with a = 4.196 Å, b = 4.653 Å, c = 13.020 Å, α = 90.00°, β = 90.00° and γ = 90.00°. The asymmetric unit holds Sr at (0.000, 0.000, 0.000), Cd at (0.000, 0.500, 0.735), Ag at (0.000, 0.000, 0.609), Ag at (0.000, 0.500, 0.258) and Hg at (0.000, 0.000, 0.394).

Its total moment is 0.00 μB/f.u. The formation energy is -0.24 eV per atom. The value obtained for the density of states at the Fermi level is 3.58 states/eV/cell. The calculation puts the raw total energy at -1.9579 eV per atom. Its crystal system is orthorhombic.

=====

Here is crystalline CdAgHg2Te4 at its relaxed geometry from the Alexandria database. Energies are from PBE.

It has space group I-42m (No. 121), with a = 7.970 Å, b = 7.970 Å, c = 8.136 Å, α = 90.00°, β = 90.00° and γ = 90.00°. The asymmetric unit holds Cd at (0.000, 0.000, 0.000), Ag at (0.000, 0.000, 0.500), Hg at (0.000, 0.500, 0.250) and Te at (0.179, 0.179, 0.256).

As for the raw formation energy: -0.039 eV per atom. Its total moment is 0.00 μB/f.u. The value obtained for the density of states at the Fermi level is 8.93 states/eV/cell. The calculation puts the raw total energy at -2.1560 eV per atom. Its crystal system is tetragonal.

=====

Here is crystalline CdAgHgTe2 at its relaxed geometry from the Alexandria database. Energies are from PBE.

It has space group P4/mmm (No. 123), with a = 5.520 Å, b = 5.520 Å, c = 5.304 Å, α = 90.00°, β = 90.00° and γ = 90.00°. The asymmetric unit holds Cd at (0.000, 0.000, 0.000), Ag at (0.000, 0.000, 0.500), Hg at (0.500, 0.500, 0.000) and Te at (0.000, 0.500, 0.500).

As for the raw formation energy: 0.306 eV per atom. Its total moment is 0.00 μB/f.u. The value obtained for the density of states at the Fermi level is 5.16 states/eV/cell. The calculation puts the raw total energy at -1.7641 eV per atom. Its crystal system is tetragonal.